The following is a DFT calculation (PBE) of a geometry-optimized TbDyNiRu structure.

Calculated values
- energy (eV per atom) = -6.451
- total moment (μB/atom) = 0.000

a b c (Å): 4.8061 4.8061 4.8061
angles (deg): 60.00 60.00 60.00
Positions (direct):
Tb (0.0000, 0.0000, 0.0000)
Dy (0.5000, 0.5000, 0.5000)
Ni (0.7500, 0.7500, 0.7500)
Ru (0.2500, 0.2500, 0.2500)